[1]
The following is a DFT calculation (PBE) of a relaxed structure of PuIn4Pd2Pt.

a b c (Å): 9.576 9.576 9.576
angles (deg): 27.89 27.89 27.89
Positions (direct):
Pu (0.000, 0.000, 0.000)
In (0.131, 0.131, 0.131)
In (0.397, 0.397, 0.397)
In (0.603, 0.603, 0.603)
In (0.869, 0.869, 0.869)
Pd (0.242, 0.242, 0.242)
Pd (0.758, 0.758, 0.758)
Pt (0.500, 0.500, 0.500)

crystal system	trigonal
final energy	-5.57	eV/atom
density of states at the Fermi level	2.01	states/eV per atom

***

[2]
The following is a DFT calculation (PBE) of a relaxed structure of TlTePN2.

a b c (Å): 4.261 4.261 6.677
angles (deg): 90.00 90.00 90.00
Positions (direct):
Tl (0.000, 0.000, 0.000)
Te (0.000, 0.000, 0.500)
P (0.500, 0.500, 0.500)
N (0.000, 0.500, 0.000)
N (0.500, 0.000, 0.000)

crystal system	tetragonal
final energy	-3.49	eV/atom
formation energy without anion corrections	10.10	eV per formula unit
distance to the lowest polymorph of the same formula	0.7333	eV per atom
density of states at the Fermi level	0.63	states/eV per atom

***

[3]
The following is a DFT calculation (PBE) of a relaxed structure of NbVAs2.

a b c (Å): 7.025 7.025 7.025
angles (deg): 130.88 130.88 72.01
Positions (direct):
Nb (0.000, 0.000, 0.000)
Nb (0.750, 0.250, 0.500)
V (0.250, 0.750, 0.500)
V (0.500, 0.500, 0.000)
As (0.133, 0.625, 0.008)
As (0.375, 0.383, 0.508)
As (0.617, 0.125, 0.992)
As (0.875, 0.867, 0.492)

crystal system	tetragonal
final energy	-6.91	eV/atom
distance to the lowest polymorph of the same formula	0.5720	eV per atom
density of states at the Fermi level	1.32	states/eV per atom

***

[4]
The following is a DFT calculation (PBE) of a relaxed structure of La2AlNi.

a b c (Å): 6.408 6.408 6.408
angles (deg): 40.64 40.64 40.64
Positions (direct):
La (0.000, 0.000, 0.000)
La (0.196, 0.196, 0.196)
Al (0.768, 0.768, 0.768)
Ni (0.424, 0.424, 0.424)

crystal system	trigonal
final energy	-5.16	eV/atom
density of states at the Fermi level	1.12	states/eV per atom

***

[5]
The following is a DFT calculation (PBE) of a relaxed structure of Sm2YRh.

a b c (Å): 6.243 6.243 9.729
angles (deg): 90.00 90.00 143.79
Positions (direct):
Sm (0.138, 0.862, 0.567)
Sm (0.138, 0.862, 0.933)
Sm (0.862, 0.138, 0.067)
Sm (0.862, 0.138, 0.433)
Y (0.420, 0.580, 0.750)
Y (0.580, 0.420, 0.250)
Rh (0.263, 0.737, 0.250)
Rh (0.737, 0.263, 0.750)

crystal system	orthorhombic
final energy	-6.26	eV/atom
distance to the lowest polymorph of the same formula	0.0324	eV per atom
density of states at the Fermi level	1.19	states/eV per atom

***

[6]
The following is a DFT calculation (PBE) of a relaxed structure of PmAg4.

a b c (Å): 4.876 5.263 5.304
angles (deg): 78.09 62.64 63.34
Positions (direct):
Pm (0.000, 0.000, 0.000)
Ag (0.203, 0.298, 0.300)
Ag (0.499, 0.700, 0.298)
Ag (0.501, 0.300, 0.702)
Ag (0.797, 0.702, 0.700)

crystal system	triclinic
final energy	-3.39	eV/atom
distance to the lowest polymorph of the same formula	0.0000	eV per atom
density of states at the Fermi level	0.33	states/eV per atom

***

[7]
The following is a DFT calculation (PBE) of a relaxed structure of Ga3BAs.

a b c (Å): 4.973 4.973 4.973
angles (deg): 90.00 90.00 90.00
Positions (direct):
Ga (0.000, 0.000, 0.500)
Ga (0.000, 0.500, 0.000)
Ga (0.500, 0.000, 0.000)
B (0.500, 0.500, 0.500)
As (0.000, 0.000, 0.000)

crystal system	cubic
final energy	-2.81	eV/atom
distance to the lowest polymorph of the same formula	0.9662	eV per atom
density of states at the Fermi level	0.71	states/eV per atom

***

[8]
The following is a DFT calculation (PBE) of a relaxed structure of LiTePt2.

a b c (Å): 3.049 3.049 7.744
angles (deg): 90.00 90.00 90.00
Positions (direct):
Li (0.000, 0.000, 0.000)
Te (0.500, 0.500, 0.694)
Pt (0.000, 0.000, 0.438)
Pt (0.500, 0.500, 0.202)

crystal system	tetragonal
final energy	-4.36	eV/atom
formation energy without anion corrections	-0.29	eV per formula unit
density of states at the Fermi level	0.86	states/eV per atom

***

[9]
The following is a DFT calculation (PBE) of a relaxed structure of ScMnTe2.

a b c (Å): 8.887 8.887 8.887
angles (deg): 26.99 26.99 26.99
Positions (direct):
Sc (0.000, 0.000, 0.000)
Mn (0.500, 0.500, 0.500)
Te (0.398, 0.398, 0.398)
Te (0.602, 0.602, 0.602)

crystal system	trigonal
final energy	-5.83	eV/atom
formation energy without anion corrections	-1.54	eV per formula unit
density of states at the Fermi level	0.66	states/eV per atom

***

[10]
The following is a DFT calculation (PBE) of a relaxed structure of TcSbF2.

a b c (Å): 4.406 4.406 4.406
angles (deg): 60.00 60.00 60.00
Positions (direct):
Tc (0.000, 0.000, 0.000)
Sb (0.500, 0.500, 0.500)
F (0.250, 0.250, 0.250)
F (0.750, 0.750, 0.750)

crystal system	cubic
final energy	-4.87	eV/atom
formation energy without anion corrections	-1.25	eV per formula unit
distance to the lowest polymorph of the same formula	0.3985	eV per atom
density of states at the Fermi level	0.53	states/eV per atom

***

[11]
The following is a DFT calculation (PBE) of a relaxed structure of TaTlBr2.

a b c (Å): 6.864 6.864 6.864
angles (deg): 143.46 143.46 52.64
Positions (direct):
Ta (0.000, 0.000, 0.000)
Tl (0.250, 0.750, 0.500)
Br (0.500, 0.500, 0.000)
Br (0.750, 0.250, 0.500)

crystal system	tetragonal
final energy	-3.70	eV/atom
formation energy without anion corrections	2.78	eV per formula unit
distance to the lowest polymorph of the same formula	0.9003	eV per atom
density of states at the Fermi level	1.36	states/eV per atom

***

[12]
The following is a DFT calculation (PBE) of a relaxed structure of Mg2GaAu.

a b c (Å): 4.478 4.478 3.675
angles (deg): 90.00 90.00 90.00
Positions (direct):
Mg (0.000, 0.500, 0.000)
Mg (0.500, 0.000, 0.000)
Ga (0.000, 0.000, 0.500)
Au (0.500, 0.500, 0.500)

crystal system	tetragonal
final energy	-2.74	eV/atom
density of states at the Fermi level	0.26	states/eV per atom

***

[13]
The following is a DFT calculation (PBE) of a relaxed structure of CuP2O6.

a b c (Å): 6.725 6.725 5.009
angles (deg): 104.70 104.70 84.37
Positions (direct):
Cu (0.116, 0.884, 0.750)
Cu (0.884, 0.116, 0.250)
P (0.194, 0.377, 0.754)
P (0.377, 0.194, 0.254)
P (0.623, 0.806, 0.746)
P (0.806, 0.623, 0.246)
O (0.046, 0.200, 0.648)
O (0.109, 0.592, 0.811)
O (0.200, 0.046, 0.148)
O (0.341, 0.355, 0.538)
O (0.355, 0.341, 0.038)
O (0.408, 0.891, 0.689)
O (0.592, 0.109, 0.311)
O (0.645, 0.659, 0.962)
O (0.659, 0.645, 0.462)
O (0.800, 0.954, 0.852)
O (0.891, 0.408, 0.189)
O (0.954, 0.800, 0.352)

crystal system	monoclinic
final energy	-6.70	eV/atom
formation energy without anion corrections	-15.62	eV per formula unit
distance to the lowest polymorph of the same formula	0.0204	eV per atom
density of states at the Fermi level	0.31	states/eV per atom